Record 1
Material: SbP2Pt
Method: DFT, GGA-PBE
State: relaxed

## Properties
**Total DFT energy (no corrections)**: -5.038 eV/atom
**Crystal system**: tetragonal
**SG**: No. 123
**Uncorrected formation energy**: 0.208 eV/atom

Unit cell a=3.4405 b=3.4466 c=6.2491 alpha=90.00 beta=90.00 gamma=90.00
With the nearest neighbours (Å) after each atom.
Fractional coordinates of all 4 atoms:
1 P 0.0000 0.0000 0.0754  1 P 2.18
2 P 0.0000 0.0000 0.4246  1 P 2.18
3 Sb 0.5000 0.5000 0.7500  2 Pt 3.12, 8 P 3.17, 4 Sb 3.44-3.45
4 Pt 0.5000 0.5000 0.2500  8 P 2.67

Record 2
Material: SbPPt
Method: DFT, GGA-PBE
State: relaxed

## Properties
**Total DFT energy (no corrections)**: -5.593 eV/atom
**Crystal system**: orthorhombic
**SG**: No. 62
**Polymorph energy (0 for the lowest one)**: 116 meV per atom
**Uncorrected formation energy**: -0.402 eV/atom

Unit cell a=3.9882 b=9.9653 c=6.4420 alpha=90.00 beta=90.00 gamma=90.00
With the nearest neighbours (Å) after each atom.
Fractional coordinates of all 12 atoms:
1 P 0.7500 0.4786 0.8177  3 Pt 2.40-2.46, 1 Sb 2.56
2 P 0.7500 0.9786 0.6823  3 Pt 2.40-2.46, 1 Sb 2.56
3 P 0.2500 0.5214 0.1823  3 Pt 2.40-2.46, 1 Sb 2.56
4 P 0.2500 0.0214 0.3177  3 Pt 2.40-2.46, 1 Sb 2.56
5 Sb 0.7500 0.7887 0.9502  1 P 2.56, 3 Pt 2.68-2.69
6 Sb 0.7500 0.2887 0.5498  1 P 2.56, 3 Pt 2.68-2.69
7 Sb 0.2500 0.2113 0.0498  1 P 2.56, 3 Pt 2.68-2.69
8 Sb 0.2500 0.7113 0.4502  1 P 2.56, 3 Pt 2.68-2.69
9 Pt 0.2500 0.1219 0.6568  3 P 2.40-2.46, 3 Sb 2.68-2.69
10 Pt 0.2500 0.6219 0.8432  3 P 2.40-2.46, 3 Sb 2.68-2.69
11 Pt 0.7500 0.3781 0.1568  3 P 2.40-2.46, 3 Sb 2.68-2.69
12 Pt 0.7500 0.8781 0.3432  3 P 2.40-2.46, 3 Sb 2.68-2.69

Record 3
Material: SbP4Pt
Method: DFT, GGA-PBE
State: relaxed

## Properties
**Total DFT energy (no corrections)**: -4.608 eV/atom
**Crystal system**: cubic
**SG**: No. 216
**Uncorrected formation energy**: 0.692 eV/atom

Unit cell a=5.3817 b=5.3817 c=5.3817 alpha=60.00 beta=60.00 gamma=60.00
With the nearest neighbours (Å) after each atom.
Fractional coordinates of all 6 atoms:
1 Pt 0.7500 0.7500 0.7500  12 P 3.12, 4 Sb 3.30
2 P 0.3937 0.3937 0.3937  3 P 2.29
3 P 0.3937 0.3937 0.8189  3 P 2.29
4 P 0.8189 0.3937 0.3937  3 P 2.29
5 P 0.3937 0.8189 0.3937  3 P 2.29
6 Sb 0.0000 0.0000 0.0000  12 P 3.21, 4 Pt 3.30

Record 4
Material: SbPPt2
Method: DFT, GGA-PBE
State: relaxed

## Properties
**Total DFT energy (no corrections)**: -5.345 eV/atom
**Crystal system**: cubic
**SG**: No. 225
**Polymorph energy (0 for the lowest one)**: 456 meV per atom
**Uncorrected formation energy**: 0.058 eV/atom

Unit cell a=4.6231 b=4.6231 c=4.6231 alpha=60.00 beta=60.00 gamma=60.00
With the nearest neighbours (Å) after each atom.
Fractional coordinates of all 4 atoms:
1 Sb 0.5000 0.5000 0.5000  8 Pt 2.83
2 Pt 0.2500 0.2500 0.2500  4 Sb 2.83, 4 P 2.83
3 Pt 0.7500 0.7500 0.7500  4 Sb 2.83, 4 P 2.83
4 P 0.0000 0.0000 0.0000  8 Pt 2.83

Record 5
Material: SbP2Pt
Method: DFT, GGA-PBE
State: relaxed

## Properties
**Total DFT energy (no corrections)**: -4.849 eV/atom
**Crystal system**: tetragonal
**SG**: No. 119
**Uncorrected formation energy**: 0.397 eV/atom

Unit cell a=4.5327 b=4.5327 c=4.5327 alpha=113.27 beta=113.27 gamma=102.12
With the nearest neighbours (Å) after each atom.
Fractional coordinates of all 4 atoms:
1 P 0.2500 0.7500 0.5000  2 Sb 2.85, 4 Pt 2.87, 4 P 2.87
2 P 0.0000 0.0000 0.0000  2 Pt 2.85, 4 P 2.87, 4 Sb 2.87
3 Pt 0.5000 0.5000 0.0000  6 P 2.85-2.87, 4 Sb 2.87
4 Sb 0.7500 0.2500 0.5000  6 P 2.85-2.87, 4 Pt 2.87

Record 6
Material: SbP2Pt
Method: DFT, GGA-PBE
State: relaxed

## Properties
**Total DFT energy (no corrections)**: -5.338 eV/atom
**Crystal system**: tetragonal
**SG**: No. 122
**Uncorrected formation energy**: -0.092 eV/atom

Unit cell a=5.6823 b=5.6823 c=6.9910 alpha=66.02 beta=66.02 gamma=90.00
With the nearest neighbours (Å) after each atom.
Fractional coordinates of all 8 atoms:
1 Sb 0.2500 0.7500 0.5000  4 P 2.63
2 Sb 0.5000 0.5000 0.0000  4 P 2.63
3 P 0.0767 0.6250 0.2500  2 Pt 2.32
4 P 0.3750 0.3267 0.7500  2 Pt 2.32
5 P 0.8750 0.9233 0.7500  2 Pt 2.32
6 P 0.6733 0.1250 0.2500  2 Pt 2.32
7 Pt 0.7500 0.2500 0.5000  4 P 2.32
8 Pt 0.0000 0.0000 0.0000  4 P 2.32

Calculated total moment in order - 0.00, 0.00, 0.00, 0.00, 0.00, 0.00 μB per cell